This record from the Alexandria database describes a relaxed NaBPdF6 crystal. The functional is PBE.

Cell lengths 5.9593, 5.0383, 5.3470 Å; angles 83.70, 91.00, 56.39 degrees
Positions (direct):
F 0.4067 0.0765 0.6448
F 0.6217 0.3517 0.6677
F 0.1976 0.5489 0.8134
F 0.2418 0.5680 0.3880
F 0.8894 0.3763 0.2221
Na 0.0027 0.9579 0.0416
F 0.6363 0.0224 0.1767
Pd 0.6453 0.7049 0.4205
B 0.3584 0.3936 0.6251

---

This record from the Alexandria database describes a relaxed NaBPdF2 crystal. The functional is PBE.

Cell lengths 3.5469, 6.7735, 3.5469 Å; angles 90.00, 90.00, 90.00 degrees
Positions (direct):
Pd 0.5000 0.5000 0.5000
F 0.0000 0.0000 0.5000
Na 0.0000 0.5000 0.0000
B 0.0000 0.0000 0.0000
F 0.5000 0.0000 0.0000

---

This record from the Alexandria database describes a relaxed NaB2PdF8 crystal. The functional is PBE.

Cell lengths 5.2341, 5.2341, 7.2822 Å; angles 90.00, 90.00, 120.00 degrees
Positions (direct):
Na 0.0000 0.0000 0.5000
F 0.6300 0.8150 0.7519
F 0.1850 0.3700 0.7519
F 0.8150 0.1850 0.2481
F 0.3333 0.6667 0.4953
F 0.1850 0.8150 0.7519
F 0.3700 0.1850 0.2481
F 0.6667 0.3333 0.5047
Pd 0.0000 0.0000 0.0000
B 0.6667 0.3333 0.3127
B 0.3333 0.6667 0.6872
F 0.8150 0.6300 0.2481

---

| no. | electronic total energy (eV/atom) |
| --- | --- |
| 1 | -4.93 |
| 2 | -3.40 |
| 3 | -5.35 |